Record 1
## Th2Co7 (PBE-GGA)

Data for an optimized crystal structure of Th2Co7.

Summary:
Volume in Å³/f.u.: 131.12
Formation enthalpy at 0 K in eV per atom: -0.16
Energy above the most stable polymorph in this dataset in meV/atom: 13
Magnetic moment in μB per cell: 5.85
Total energy in eV/cell: -132.07
Space group: No. 166

a b c (Å): 12.6665 12.6665 12.6665
angles (deg): 22.55 22.55 22.55
Closest atoms and distances in Å follow each position.
Positions (direct):
1 Co 0.5000 0.5000 0.0000  8 Co 2.47-2.49
2 Co 0.6073 0.6073 0.1099  7 Co 2.44-2.59
3 Co 0.2783 0.2783 0.2783  6 Co 2.44-2.49
4 Co 0.3877 0.3877 0.3877  6 Co 2.45-2.47
5 Co 0.8901 0.3927 0.3927  7 Co 2.44-2.59
6 Co 0.3927 0.8901 0.3927  7 Co 2.44-2.59
7 Co 0.5000 0.0000 0.5000  8 Co 2.47-2.49
8 Co 0.0000 0.5000 0.5000  8 Co 2.47-2.49
9 Co 0.5000 0.5000 0.5000  6 Co 2.59
10 Co 0.6073 0.1099 0.6073  7 Co 2.44-2.59
11 Co 0.1099 0.6073 0.6073  7 Co 2.44-2.59
12 Co 0.6123 0.6123 0.6123  6 Co 2.45-2.47
13 Co 0.7217 0.7217 0.7217  6 Co 2.44-2.49
14 Co 0.3927 0.3927 0.8901  7 Co 2.44-2.59
15 Th 0.0506 0.0506 0.0506  12 Co 2.86-3.11
16 Th 0.1465 0.1465 0.1465  9 Co 2.85-2.96
17 Th 0.8535 0.8535 0.8535  9 Co 2.85-2.96
18 Th 0.9494 0.9494 0.9494  12 Co 2.86-3.11

Record 2
## Th2Co17 (PBE-GGA)

Data for an optimized crystal structure of Th2Co17.

Summary:
Volume in Å³/f.u.: 243.42
Formation enthalpy at 0 K in eV per atom: -0.11
Energy above the most stable polymorph in this dataset in meV/atom: 0
Magnetic moment in μB per cell: 23.26
Total energy in eV/cell: -137.80
Space group: No. 12

a b c (Å): 6.2986 6.2986 6.2708
angles (deg): 97.13 97.13 82.81
Closest atoms and distances in Å follow each position.
Positions (direct):
1 Co 0.5000 0.5000 0.0000  10 Co 2.37-2.54
2 Co 0.8451 0.3523 0.1543  9 Co 2.39-2.59
3 Co 0.3523 0.8451 0.1543  9 Co 2.39-2.59
4 Co 0.5005 0.2151 0.2150  10 Co 2.37-2.65
5 Co 0.2151 0.5005 0.2150  10 Co 2.37-2.65
6 Co 0.1550 0.1550 0.3523  9 Co 2.39-2.58
7 Co 0.5969 0.5969 0.4030  7 Co 2.36-2.58
8 Co 0.5000 0.0000 0.5000  10 Co 2.37-2.55
9 Co 0.7858 0.2142 0.5000  8 Co 2.37-2.58
10 Co 0.0000 0.5000 0.5000  10 Co 2.37-2.55
11 Co 0.2142 0.7858 0.5000  8 Co 2.37-2.58
12 Co 0.4031 0.4031 0.5970  7 Co 2.36-2.58
13 Co 0.8450 0.8450 0.6477  9 Co 2.39-2.58
14 Co 0.7849 0.4995 0.7850  10 Co 2.37-2.65
15 Co 0.4995 0.7849 0.7850  10 Co 2.37-2.65
16 Co 0.6477 0.1549 0.8457  9 Co 2.39-2.59
17 Co 0.1549 0.6477 0.8457  9 Co 2.39-2.59
18 Th 0.8435 0.8435 0.1563  19 Co 2.98-3.23
19 Th 0.1565 0.1565 0.8437  19 Co 2.98-3.23

Record 3
## ThCo (PBE-GGA)

Data for an optimized crystal structure of ThCo.

Summary:
Volume in Å³/f.u.: 52.96
Formation enthalpy at 0 K in eV per atom: 0.46
Magnetic moment in μB per cell: 0.00
Total energy in eV/cell: -13.61
Space group: No. 216

a b c (Å): 4.2153 4.2153 4.2153
angles (deg): 60.00 60.00 60.00
Closest atoms and distances in Å follow each position.
Positions (direct):
1 Co 0.0000 0.0000 0.0000  4 Th 2.58
2 Th 0.2500 0.2500 0.2500  4 Co 2.58

Record 4
## ThCo (PBE-GGA)

Data for an optimized crystal structure of ThCo.

Summary:
Volume in Å³/f.u.: 49.55
Formation enthalpy at 0 K in eV per atom: 0.12
Magnetic moment in μB per cell: 0.00
Total energy in eV/cell: -28.57
Space group: No. 194

a b c (Å): 4.4927 4.4927 5.6688
angles (deg): 90.00 90.00 120.00
Closest atoms and distances in Å follow each position.
Positions (direct):
1 Co 0.3333 0.6667 0.4377  5 Th 2.59-2.84
2 Co 0.0000 0.0000 0.9377  5 Th 2.59-2.84
3 Th 0.0000 0.0000 0.4373  5 Co 2.59-2.84
4 Th 0.3333 0.6667 0.9373  5 Co 2.59-2.84

Record 5
## Th7Co3 (PBE-GGA)

Data for an optimized crystal structure of Th7Co3.

Summary:
Volume in Å³/f.u.: 253.04
Formation enthalpy at 0 K in eV per atom: -0.25
Magnetic moment in μB per cell: 0.00
Total energy in eV/cell: -151.48
Space group: No. 186

a b c (Å): 9.7380 9.7383 6.1622
angles (deg): 90.00 90.00 120.00
Closest atoms and distances in Å follow each position.
Positions (direct):
1 Co 0.3704 0.1852 0.2993  6 Th 2.78-2.93
2 Co 0.8148 0.1852 0.2993  6 Th 2.78-2.93
3 Co 0.8148 0.6296 0.2993  6 Th 2.78-2.93
4 Co 0.1852 0.3704 0.7993  6 Th 2.78-2.93
5 Co 0.1852 0.8148 0.7993  6 Th 2.78-2.93
6 Co 0.6296 0.8148 0.7993  6 Th 2.78-2.93
7 Th 0.3333 0.6667 0.0459  3 Co 2.92
8 Th 0.5440 0.4560 0.0498  2 Co 2.78
9 Th 0.9119 0.4560 0.0498  2 Co 2.78
10 Th 0.5440 0.0881 0.0498  2 Co 2.78
11 Th 0.1262 0.8738 0.2457  3 Co 2.78-2.93
12 Th 0.7477 0.8738 0.2457  3 Co 2.78-2.93
13 Th 0.1262 0.2523 0.2457  3 Co 2.78-2.93
14 Th 0.6667 0.3333 0.5459  3 Co 2.92
15 Th 0.0881 0.5440 0.5498  2 Co 2.78
16 Th 0.4560 0.5440 0.5498  2 Co 2.78
17 Th 0.4560 0.9119 0.5498  2 Co 2.78
18 Th 0.2523 0.1262 0.7457  3 Co 2.78-2.93
19 Th 0.8738 0.1262 0.7457  3 Co 2.78-2.93
20 Th 0.8738 0.7477 0.7457  3 Co 2.78-2.93

Record 6
## ThTlCo (PBE-GGA)

Data for an optimized crystal structure of ThTlCo.

Summary:
Volume in Å³/f.u.: 79.47
Magnetic moment in μB per cell: 1.98
Total energy in eV/cell: -15.06
Space group: No. 216

a b c (Å): 4.8259 4.8259 4.8259
angles (deg): 60.00 60.00 60.00
Closest atoms and distances in Å follow each position.
Positions (direct):
1 Co 0.2500 0.2500 0.2500  4 Tl 2.96
2 Th 0.7500 0.7500 0.7500  4 Tl 2.96
3 Tl 0.0000 0.0000 0.0000  4 Th 2.96, 4 Co 2.96

Record 7
## Tm2ThCo2 (PBE-GGA)

Data for an optimized crystal structure of Tm2ThCo2.

Summary:
Volume in Å³/f.u.: 109.08
Formation enthalpy at 0 K in eV per atom: -0.28
Magnetic moment in μB per cell: 0.00
Total energy in eV/cell: -63.93
Space group: No. 15

a b c (Å): 6.0568 6.0568 7.0816
angles (deg): 99.31 99.31 58.72
Closest atoms and distances in Å follow each position.
Positions (direct):
1 Co 0.3115 0.0008 0.0088  1 Co 2.30
2 Co 0.9992 0.6885 0.4912  1 Co 2.30
3 Co 0.0008 0.3115 0.5088  1 Co 2.30
4 Co 0.6885 0.9992 0.9912  1 Co 2.30
5 Th 0.0911 0.9089 0.2500  4 Co 2.61-2.66
6 Th 0.9089 0.0911 0.7500  4 Co 2.61-2.66
7 Tm 0.7639 0.5506 0.1537  4 Co 2.82-2.91
8 Tm 0.4494 0.2361 0.3463  4 Co 2.82-2.91
9 Tm 0.5506 0.7639 0.6537  4 Co 2.82-2.91
10 Tm 0.2361 0.4494 0.8463  4 Co 2.82-2.91

Record 8
## ThUCo (PBE-GGA)

Data for an optimized crystal structure of ThUCo.

Summary:
Volume in Å³/f.u.: 68.00
Formation enthalpy at 0 K in eV per atom: 0.36
Energy above the most stable polymorph in this dataset in meV/atom: 0
Magnetic moment in μB per cell: 2.51
Total energy in eV/cell: -24.74
Space group: No. 216

a b c (Å): 4.5816 4.5816 4.5816
angles (deg): 60.00 60.00 60.00
Closest atoms and distances in Å follow each position.
Positions (direct):
1 Co 0.0000 0.0000 0.0000  4 U 2.81, 4 Th 2.81
2 Th 0.2500 0.2500 0.2500  4 Co 2.81
3 U 0.7500 0.7500 0.7500  4 Co 2.81

Record 9
## ThCoW (PBE-GGA)

Data for an optimized crystal structure of ThCoW.

Summary:
Volume in Å³/f.u.: 63.46
Formation enthalpy at 0 K in eV per atom: 0.65
Energy above the most stable polymorph in this dataset in meV/atom: 0
Magnetic moment in μB per cell: 1.96
Total energy in eV/cell: -25.54
Space group: No. 216

a b c (Å): 4.4773 4.4773 4.4773
angles (deg): 60.00 60.00 60.00
Closest atoms and distances in Å follow each position.
Positions (direct):
1 Co 0.0000 0.0000 0.0000  4 Th 2.74, 4 W 2.74
2 Th 0.2500 0.2500 0.2500  4 Co 2.74
3 W 0.7500 0.7500 0.7500  4 Co 2.74

Record 10
## YThCo (PBE-GGA)

Data for an optimized crystal structure of YThCo.

Summary:
Volume in Å³/f.u.: 74.99
Formation enthalpy at 0 K in eV per atom: 0.82
Energy above the most stable polymorph in this dataset in meV/atom: 0
Magnetic moment in μB per cell: 0.00
Total energy in eV/cell: -18.51
Space group: No. 216

a b c (Å): 4.7334 4.7334 4.7334
angles (deg): 60.00 60.00 60.00
Closest atoms and distances in Å follow each position.
Positions (direct):
1 Co 0.0000 0.0000 0.0000  4 Th 2.90
2 Th 0.2500 0.2500 0.2500  4 Co 2.90, 4 Y 2.90
3 Y 0.5000 0.5000 0.5000  4 Th 2.90

Record 11
## ThZnCo (PBE-GGA)

Data for an optimized crystal structure of ThZnCo.

Summary:
Volume in Å³/f.u.: 62.82
Formation enthalpy at 0 K in eV per atom: -0.14
Magnetic moment in μB per cell: 0.00
Total energy in eV/cell: -16.21
Space group: No. 216

a b c (Å): 4.4621 4.4621 4.4621
angles (deg): 60.00 60.00 60.00
Closest atoms and distances in Å follow each position.
Positions (direct):
1 Co 0.0000 0.0000 0.0000  4 Th 2.73, 4 Zn 2.73
2 Th 0.2500 0.2500 0.2500  4 Co 2.73
3 Zn 0.7500 0.7500 0.7500  4 Co 2.73

Record 12
## TlCo8 (PBE-GGA)

Data for an optimized crystal structure of TlCo8.

Summary:
Volume in Å³/f.u.: 196.55
Magnetic moment in μB per cell: 25.32
Total energy in eV/cell: -115.47
Space group: No. 12

a b c (Å): 4.2733 4.2733 28.8423
angles (deg): 90.19 90.19 48.28
Closest atoms and distances in Å follow each position.
Positions (direct):
1 Co 0.2502 0.2502 0.2993  6 Co 2.39-2.46
2 Co 0.5494 0.5494 0.3243  9 Co 2.44-2.47
3 Co 0.8489 0.8489 0.3505  11 Co 2.41-2.47
4 Co 0.1485 0.1485 0.3775  12 Co 2.39-2.48
5 Co 0.4503 0.4503 0.4047  12 Co 2.45-2.48
6 Co 0.7510 0.7510 0.4319  12 Co 2.46-2.49
7 Co 0.0503 0.0503 0.4589  12 Co 2.46-2.50
8 Co 0.3498 0.3498 0.4862  12 Co 2.46-2.49
9 Co 0.6502 0.6502 0.5138  12 Co 2.46-2.49
10 Co 0.9497 0.9497 0.5411  12 Co 2.46-2.50
11 Co 0.2489 0.2489 0.5681  12 Co 2.46-2.49
12 Co 0.5497 0.5497 0.5954  12 Co 2.45-2.48
13 Co 0.8515 0.8515 0.6226  12 Co 2.39-2.48
14 Co 0.1512 0.1512 0.6495  11 Co 2.41-2.47
15 Co 0.4506 0.4506 0.6757  9 Co 2.44-2.47
16 Co 0.7498 0.7498 0.7008  6 Co 2.39-2.46
17 Tl 0.9515 0.9515 0.2461  6 Co 2.79-3.12
18 Tl 0.0485 0.0485 0.7538  6 Co 2.78-3.12